Compound: CrSnRu2
Source: Alexandria
Functional: GGA-PBE
Structure: relaxed

Calculated values
Energy of formation (eV per formula unit): 2.20
Total moment (μB/atom): 0.001

Cell lengths 5.8550, 5.8550, 5.8550 Å; angles 53.46, 152.13, 135.35 degrees
Sites, in units of the cell vectors:
Cr  0.0000  0.0000  0.0000
Ru  0.0000  0.2151  0.2151
Sn  0.0000  0.5000  0.5000
Ru  0.0000  0.7849  0.7849



Compound: Cr2SnRu2
Source: Alexandria
Functional: GGA-PBE
Structure: relaxed

Calculated values
Relative energy among the computed polymorphs (eV/f.u.): 0.41
Energy of formation (eV per formula unit): 1.58
Total moment (μB/atom): 0.000

Cell lengths 3.8129, 3.8129, 6.1453 Å; angles 71.93, 71.93, 90.00 degrees
Sites, in units of the cell vectors:
Cr  0.7500  0.2500  0.5000
Cr  0.2500  0.7500  0.5000
Ru  0.3836  0.3836  0.2328
Ru  0.6164  0.6164  0.7672
Sn  0.0000  0.0000  0.0000



Question: Look up the energy of formation of the first one.
Answer: 2.20 eV per formula unit



Question: What is the total moment in the second record?
Answer: 0.000 μB/atom



Question: Look up the total moment of the second one.
Answer: 0.000 μB/atom



Question: What is the total moment in the first record?
Answer: 0.001 μB/atom